1 | {
  "formula": "CaTc2Ir",
  "functional": "PBE-GGA",
  "state": "relaxed",
  "dos_ef_per_ev_atom": 1.06,
  "lattice_angstrom": [[-3.170, 3.513, 3.602], [-4.865, 3.125, 1.392], [-2.985, -2.370, 2.705]],
  "species": ["Ca", "Ir", "Tc", "Tc"],
  "frac_coords": [[0.750, 0.750, 0.750], [0.250, 0.250, 0.250], [0.964, 0.964, 0.037], [0.536, 0.536, 0.463]]
}


2 | {
  "formula": "CaTc2Ir",
  "functional": "PBE-GGA",
  "state": "relaxed",
  "dos_ef_per_ev_atom": 0.84,
  "lattice_angstrom": [[-1.599, 4.075, 2.063], [-2.587, -0.470, -1.077], [-1.706, -2.596, 3.804]],
  "species": ["Ca", "Ir", "Tc", "Tc"],
  "frac_coords": [[0.500, 0.250, 0.250], [0.500, 0.750, 0.750], [0.000, 0.928, 0.992], [0.000, 0.572, 0.508]]
}


Ranking the structures above by energy, 1 is first and the second is 198 meV per atom behind.